This record from Alexandria describes a geometry-optimized La4GaCo structure. The functional is GGA-PBE.

Results
Crystal system   monoclinic
Energy of formation from the pure elements   -0.248 eV/atom
VASP energy   -5.221 eV/atom

a b c (Å): 6.222 8.009 8.415
angles (deg): 112.82 104.86 103.77
Positions (direct):
La 0.039 0.207 0.872
La 0.667 0.335 0.128
La 0.333 0.665 0.872
La 0.349 0.932 0.623
La 0.651 0.068 0.377
Co 0.242 0.992 0.985
La 0.225 0.309 0.377
Ga 0.373 0.623 0.245
Ga 0.627 0.377 0.755
Co 0.758 0.008 0.015
La 0.775 0.691 0.623
La 0.961 0.793 0.128